Compound: PrNd2NpP4
Source: Alexandria via LeMat-Bulk
Functional: PBE
Structure: optimized geometry

## Properties
total moment: 3.6 μB/f.u.
calculated total energy: -59.67 eV/cell
N(E_F): 11.6 states/eV/f.u.
crystal system: monoclinic

Geometry as POSCAR:
```
PrNd2NpP4
1.0
4.115 0.000 0.000
0.000 7.140 0.134
0.000 -2.486 6.691
Nd P Np Pr
2 4 1 1
direct
0.500 0.000 0.500
0.000 0.500 0.500
0.000 0.737 0.239
0.500 0.259 0.244
0.000 0.263 0.761
0.500 0.741 0.756
0.500 0.500 0.000
0.000 0.000 0.000
```



Compound: Cs2KCuHg
Source: Alexandria via LeMat-Bulk
Functional: PBE
Structure: optimized geometry

## Properties
total moment: 0.0 μB/f.u.
calculated total energy: -6.65 eV/cell
N(E_F): 3.9 states/eV/f.u.
crystal system: tetragonal

Geometry as POSCAR:
```
Cs2KCuHg
1.0
-4.595 -5.288 1.063
4.930 -3.550 3.648
-1.647 2.336 4.499
Cu Cs Hg K
1 2 1 1
direct
0.000 0.000 0.000
0.000 0.500 0.000
0.500 0.000 0.000
0.000 0.000 0.500
0.500 0.500 0.500
```



Compound: PuZn4Rh
Source: Alexandria via LeMat-Bulk
Functional: PBE
Structure: optimized geometry

## Properties
total moment: 5.6 μB/f.u.
calculated total energy: -56.65 eV/cell
N(E_F): 12.4 states/eV/f.u.
crystal system: orthorhombic

Geometry as POSCAR:
```
PuZn4Rh
1.0
-1.072 0.104 3.796
-1.815 -6.559 -0.333
7.335 -2.138 2.131
Zn Rh Pu
8 2 2
direct
0.500 0.697 0.456
0.500 0.042 0.250
0.500 0.697 0.044
0.500 0.958 0.750
0.000 0.000 0.500
0.500 0.303 0.544
0.000 0.000 0.000
0.500 0.303 0.956
0.000 0.779 0.250
0.000 0.221 0.750
0.000 0.609 0.750
0.000 0.391 0.250
```



Compound: SrIn4Rh
Source: Alexandria via LeMat-Bulk
Functional: PBE
Structure: optimized geometry

## Properties
total moment: 0.0 μB/f.u.
calculated total energy: -19.52 eV/cell
N(E_F): 4.1 states/eV/f.u.
crystal system: cubic

Geometry as POSCAR:
```
SrIn4Rh
1.0
-1.476 -4.364 3.833
-5.664 -1.936 0.299
-1.418 -5.446 -2.061
In Sr Rh
4 1 1
direct
0.376 0.376 0.873
0.376 0.376 0.376
0.376 0.873 0.376
0.873 0.376 0.376
0.000 0.000 0.000
0.750 0.750 0.750
```



Compound: Ce4MgRu
Source: Alexandria via LeMat-Bulk
Functional: PBE
Structure: optimized geometry

## Properties
total moment: 3.8 μB/f.u.
calculated total energy: -140.80 eV/cell
N(E_F): 21.8 states/eV/f.u.
crystal system: cubic

Geometry as POSCAR:
```
Ce4MgRu
1.0
-1.504 -8.799 3.813
-3.253 -7.227 -5.605
5.881 -7.366 -2.321
Ce Mg Ru
16 4 4
direct
0.560 0.560 0.940
0.346 0.346 0.961
0.560 0.940 0.940
0.940 0.560 0.560
0.190 0.190 0.810
0.346 0.346 0.346
0.961 0.346 0.346
0.346 0.961 0.346
0.190 0.810 0.190
0.560 0.940 0.560
0.810 0.810 0.190
0.940 0.560 0.940
0.810 0.190 0.190
0.190 0.810 0.810
0.940 0.940 0.560
0.810 0.190 0.810
0.262 0.579 0.579
0.579 0.579 0.579
0.579 0.262 0.579
0.579 0.579 0.262
0.136 0.136 0.136
0.591 0.136 0.136
0.136 0.591 0.136
0.136 0.136 0.591
```



Compound: Te2RhPbN
Source: Alexandria via LeMat-Bulk
Functional: PBE
Structure: optimized geometry

## Properties
formation energy (no corrections): 1.55 eV/atom
total moment: 1.9 μB/f.u.
calculated total energy: -17.92 eV/cell
N(E_F): 6.6 states/eV/f.u.
crystal system: tetragonal

Geometry as POSCAR:
```
Te2RhPbN
1.0
5.830 0.000 0.000
0.000 5.830 0.000
0.000 0.000 4.110
Te Pb N Rh
2 1 1 1
direct
0.000 0.500 0.000
0.500 0.000 0.000
0.000 0.000 0.000
0.000 0.000 0.500
0.500 0.500 0.500
```



Compound: InRe2Sb
Source: Alexandria via LeMat-Bulk
Functional: PBE
Structure: optimized geometry

## Properties
formation energy (no corrections): 0.92 eV/atom
total moment: 0.0 μB/f.u.
calculated total energy: -28.08 eV/cell
N(E_F): 3.5 states/eV/f.u.
crystal system: orthorhombic

Geometry as POSCAR:
```
InRe2Sb
1.0
-0.506 -0.399 -2.992
-1.994 -1.269 1.945
-4.879 7.414 -0.164
Re Sb In
2 1 1
direct
0.000 0.000 0.011
0.000 0.000 0.489
0.500 0.500 0.250
0.500 0.500 0.750
```



Compound: K2IrPt
Source: Alexandria via LeMat-Bulk
Functional: PBE
Structure: optimized geometry

## Properties
total moment: 0.1 μB/f.u.
calculated total energy: -14.99 eV/cell
N(E_F): 2.0 states/eV/f.u.
crystal system: trigonal

Geometry as POSCAR:
```
K2IrPt
1.0
11.066 -0.001 0.000
10.685 2.879 0.000
10.685 1.414 2.508
Ir K Pt
1 2 1
direct
0.750 0.750 0.750
0.000 0.000 0.000
0.500 0.500 0.500
0.250 0.250 0.250
```



The highest N(E_F) belongs to which entry?
Ce4MgRu



The lowest calculated total energy belongs to which entry?
Ce4MgRu